## BaMg2Hg6 (PBE-GGA)

Data for a relaxed structure of BaMg2Hg6.

DFT formation energy ... -0.230 eV/atom
Magnetization ... 0.0 μB per cell
Final energy ... -0.0367 Ha/atom
Space-group type ... No. 71
Excess energy over the best structure of this formula in the dataset ... 0 meV per atom

Unit cell a=4.0631 b=8.4918 c=8.4917 alpha=61.15 beta=76.16 gamma=76.16
Fractional positions:
Mg (0.8703, 0.6297, 0.6297)
Mg (0.1297, 0.3703, 0.3703)
Hg (0.3145, 0.0091, 0.3619)
Hg (0.6855, 0.6381, 0.9909)
Hg (0.3145, 0.3619, 0.0091)
Hg (0.5000, 0.3314, 0.6686)
Hg (0.5000, 0.6686, 0.3314)
Hg (0.6855, 0.9909, 0.6381)
Ba (0.0000, 0.0000, 0.0000)

***

## YZnSe2 (PBE-GGA)

Data for a relaxed structure of YZnSe2.

Magnetization ... 0.0 μB per cell
Raw formation energy ... -1.226 eV/atom
Final energy ... -0.1802 Ha/atom
Space-group type ... No. 38

Unit cell a=6.0794 b=6.0794 c=4.0234 alpha=89.99 beta=89.99 gamma=36.74
Fractional positions:
Se (0.2359, 0.2359, 0.3750)
Se (0.9685, 0.9685, 0.8751)
Zn (0.7522, 0.7522, 0.8747)
Y (0.5434, 0.5434, 0.3752)

***

## Tl2Ge2Bi (PBE-GGA)

Data for a relaxed structure of Tl2Ge2Bi.

DFT formation energy ... 0.259 eV/atom
Magnetization ... 0.0 μB per cell
Final energy ... -0.1217 Ha/atom
Space-group type ... No. 127
Excess energy over the best structure of this formula in the dataset ... 67 meV per atom

Unit cell a=8.6907 b=8.6907 c=3.5166 alpha=90.00 beta=90.00 gamma=90.00
Fractional positions:
Ge (0.8411, 0.6589, 0.0000)
Ge (0.1589, 0.3411, 0.0000)
Ge (0.3411, 0.8411, 0.0000)
Ge (0.6589, 0.1589, 0.0000)
Bi (0.0000, 0.0000, 0.0000)
Bi (0.5000, 0.5000, 0.0000)
Tl (0.1417, 0.6417, 0.5000)
Tl (0.3583, 0.1417, 0.5000)
Tl (0.8583, 0.3583, 0.5000)
Tl (0.6417, 0.8583, 0.5000)

***

## Na3VP (PBE-GGA)

Data for a relaxed structure of Na3VP.

DFT formation energy ... 1.246 eV/atom
Magnetization ... 3.9 μB per cell
Final energy ... -0.0901 Ha/atom
Space-group type ... No. 221
Excess energy over the best structure of this formula in the dataset ... 575 meV per atom

Unit cell a=5.4748 b=5.4748 c=5.4748 alpha=90.00 beta=90.00 gamma=90.00
Fractional positions:
Na (0.0000, 0.0000, 0.5000)
Na (0.5000, 0.0000, 0.0000)
Na (0.0000, 0.5000, 0.0000)
P (0.5000, 0.5000, 0.5000)
V (0.0000, 0.0000, 0.0000)

***

## Cr2TeIr (PBE-GGA)

Data for a relaxed structure of Cr2TeIr.

Magnetization ... 2.9 μB per cell
Raw formation energy ... 0.367 eV/atom
Final energy ... -0.2736 Ha/atom
Space-group type ... No. 216

Unit cell a=4.4283 b=4.4283 c=4.4283 alpha=60.00 beta=60.00 gamma=60.00
Fractional positions:
Cr (0.2500, 0.2500, 0.2500)
Cr (0.0000, 0.0000, 0.0000)
Te (0.7500, 0.7500, 0.7500)
Ir (0.5000, 0.5000, 0.5000)

***

## BaMgGe (PBE-GGA)

Data for a relaxed structure of BaMgGe.

DFT formation energy ... -0.422 eV/atom
Magnetization ... 0.0 μB per cell
Final energy ... -0.1152 Ha/atom
Space-group type ... No. 187

Unit cell a=4.9994 b=4.6846 c=4.6846 alpha=120.00 beta=90.00 gamma=90.00
Fractional positions:
Ba (0.6669, 0.3333, 0.6667)
Ge (0.1667, 0.0000, 0.0000)
Mg (0.1664, 0.6667, 0.3333)

***

> Which formula does entry 2 have?

YZnSe2

***

> Among the records above, which one has the highest final energy?

BaMg2Hg6